Version one
# NdCdAs2 (PBE, relaxed)
# DOS(E_F): 1.6 states/eV per cell
# magnetic moment: 0.0 μB per cell
data_NdCdAs2
_chemical_formula_sum 'Nd1 Cd1 As2'
_space_group_name_H-M_alt 'P 4/m m m'
_space_group_IT_number 123
_space_group_name_Hall '-P 4 2'
_cell_length_a 4.790
_cell_length_b 4.790
_cell_length_c 3.959
_cell_angle_alpha 90.00
_cell_angle_beta 90.00
_cell_angle_gamma 90.00
loop_
_atom_site_label
_atom_site_type_symbol
_atom_site_fract_x
_atom_site_fract_y
_atom_site_fract_z
Nd1 Nd 0.000 0.000 0.000
Cd1 Cd 0.500 0.500 0.000
As1 As 0.000 0.500 0.500

Version two
# NdCdAs2 (PBE, relaxed)
# DOS(E_F): 9.3 states/eV per cell
# magnetic moment: 0.0 μB per cell
data_NdCdAs2
_chemical_formula_sum 'Nd3 Cd3 As6'
_space_group_name_H-M_alt 'R -3 m'
_space_group_IT_number 166
_space_group_name_Hall '-R 3 2"'
_cell_length_a 4.3267
_cell_length_b 4.3267
_cell_length_c 18.7934
_cell_angle_alpha 90.00
_cell_angle_beta 90.00
_cell_angle_gamma 120.00
loop_
_atom_site_label
_atom_site_type_symbol
_atom_site_fract_x
_atom_site_fract_y
_atom_site_fract_z
Nd1 Nd 0.0000 0.0000 0.0000
Cd1 Cd 0.0000 0.0000 0.5000
As1 As 0.0000 0.0000 0.2460

Which of them is most stable? Easy: version one.

Version one
# Cd3NiAs (PBE, relaxed)
# DOS(E_F): 6.5 states/eV per cell
# magnetic moment: 0.0 μB per cell
data_Cd3NiAs
_chemical_formula_sum 'Cd3 Ni1 As1'
_space_group_name_H-M_alt 'P m -3 m'
_space_group_IT_number 221
_space_group_name_Hall '-P 4 2 3'
_cell_length_a 5.201
_cell_length_b 5.201
_cell_length_c 5.201
_cell_angle_alpha 90.00
_cell_angle_beta 90.00
_cell_angle_gamma 90.00
loop_
_atom_site_label
_atom_site_type_symbol
_atom_site_fract_x
_atom_site_fract_y
_atom_site_fract_z
Cd1 Cd 0.000 0.000 0.500
Ni1 Ni 0.500 0.500 0.500
As1 As 0.000 0.000 0.000

Version two
# Cd3NiAs (PBE, relaxed)
# DOS(E_F): 3.3 states/eV per cell
# magnetic moment: 0.0 μB per cell
data_Cd3NiAs
_chemical_formula_sum 'Cd3 Ni1 As1'
_space_group_name_H-M_alt 'P m -3 m'
_space_group_IT_number 221
_space_group_name_Hall '-P 4 2 3'
_cell_length_a 4.903
_cell_length_b 4.903
_cell_length_c 4.903
_cell_angle_alpha 90.00
_cell_angle_beta 90.00
_cell_angle_gamma 90.00
loop_
_atom_site_label
_atom_site_type_symbol
_atom_site_fract_x
_atom_site_fract_y
_atom_site_fract_z
Cd1 Cd 0.000 0.000 0.500
Ni1 Ni 0.000 0.000 0.000
As1 As 0.500 0.500 0.500

Which of them is most stable? Easy: version two.

Version one
# Y2CdNiAs (PBE, relaxed)
# DOS(E_F): 3.6 states/eV per cell
# magnetic moment: 0.0 μB per cell
data_Y2CdNiAs
_chemical_formula_sum 'Y2 Cd1 Ni1 As1'
_space_group_name_H-M_alt 'P 4/m m m'
_space_group_IT_number 123
_space_group_name_Hall '-P 4 2'
_cell_length_a 5.369
_cell_length_b 5.369
_cell_length_c 4.924
_cell_angle_alpha 90.00
_cell_angle_beta 90.00
_cell_angle_gamma 90.00
loop_
_atom_site_label
_atom_site_type_symbol
_atom_site_fract_x
_atom_site_fract_y
_atom_site_fract_z
Y1 Y 0.000 0.500 0.000
Cd1 Cd 0.000 0.000 0.500
Ni1 Ni 0.500 0.500 0.500
As1 As 0.000 0.000 0.000

Version two
# Y2CdNiAs (PBE, relaxed)
# DOS(E_F): 4.7 states/eV per cell
# magnetic moment: 0.0 μB per cell
data_Y2CdNiAs
_chemical_formula_sum 'Y2 Cd1 Ni1 As1'
_space_group_name_H-M_alt 'P 4/m m m'
_space_group_IT_number 123
_space_group_name_Hall '-P 4 2'
_cell_length_a 5.456
_cell_length_b 5.456
_cell_length_c 4.346
_cell_angle_alpha 90.00
_cell_angle_beta 90.00
_cell_angle_gamma 90.00
loop_
_atom_site_label
_atom_site_type_symbol
_atom_site_fract_x
_atom_site_fract_y
_atom_site_fract_z
Y1 Y 0.000 0.500 0.000
Cd1 Cd 0.000 0.000 0.500
Ni1 Ni 0.500 0.500 0.500
As1 As 0.500 0.500 0.000

Which of them is most stable? Easy: version two.

Version one
# NpCdAs2 (PBE, relaxed)
# DOS(E_F): 29.0 states/eV per cell
# magnetic moment: 9.0 μB per cell
data_NpCdAs2
_chemical_formula_sum 'Np3 Cd3 As6'
_space_group_name_H-M_alt 'R -3 m'
_space_group_IT_number 166
_space_group_name_Hall '-R 3 2"'
_cell_length_a 4.3476
_cell_length_b 4.3476
_cell_length_c 23.4787
_cell_angle_alpha 90.00
_cell_angle_beta 90.00
_cell_angle_gamma 120.00
loop_
_atom_site_label
_atom_site_type_symbol
_atom_site_fract_x
_atom_site_fract_y
_atom_site_fract_z
Np1 Np 0.0000 0.0000 0.0000
Cd1 Cd 0.0000 0.0000 0.5000
As1 As 0.0000 0.0000 0.3923

Version two
# NpCdAs2 (PBE, relaxed)
# DOS(E_F): 8.6 states/eV per cell
# magnetic moment: 3.1 μB per cell
data_NpCdAs2
_chemical_formula_sum 'Np1 Cd1 As2'
_space_group_name_H-M_alt 'P 4/m m m'
_space_group_IT_number 123
_space_group_name_Hall '-P 4 2'
_cell_length_a 4.682
_cell_length_b 4.682
_cell_length_c 3.757
_cell_angle_alpha 90.00
_cell_angle_beta 90.00
_cell_angle_gamma 90.00
loop_
_atom_site_label
_atom_site_type_symbol
_atom_site_fract_x
_atom_site_fract_y
_atom_site_fract_z
Np1 Np 0.000 0.000 0.000
Cd1 Cd 0.500 0.500 0.000
As1 As 0.000 0.500 0.500

Which of them is most stable? Easy: version two.

Version one
# CdAs3O (PBE, relaxed)
# DOS(E_F): 20.5 states/eV per cell
# magnetic moment: 0.0 μB per cell
data_CdAs3O
_chemical_formula_sum 'Cd1 As3 O1'
_space_group_name_H-M_alt 'P m -3 m'
_space_group_IT_number 221
_space_group_name_Hall '-P 4 2 3'
_cell_length_a 5.124
_cell_length_b 5.124
_cell_length_c 5.124
_cell_angle_alpha 90.00
_cell_angle_beta 90.00
_cell_angle_gamma 90.00
loop_
_atom_site_label
_atom_site_type_symbol
_atom_site_fract_x
_atom_site_fract_y
_atom_site_fract_z
Cd1 Cd 0.000 0.000 0.000
As1 As 0.000 0.000 0.500
O1 O 0.500 0.500 0.500

Version two
# CdAs3O (PBE, relaxed)
# DOS(E_F): 3.9 states/eV per cell
# magnetic moment: 0.0 μB per cell
data_CdAs3O
_chemical_formula_sum 'Cd1 As3 O1'
_space_group_name_H-M_alt 'P m -3 m'
_space_group_IT_number 221
_space_group_name_Hall '-P 4 2 3'
_cell_length_a 4.495
_cell_length_b 4.495
_cell_length_c 4.495
_cell_angle_alpha 90.00
_cell_angle_beta 90.00
_cell_angle_gamma 90.00
loop_
_atom_site_label
_atom_site_type_symbol
_atom_site_fract_x
_atom_site_fract_y
_atom_site_fract_z
Cd1 Cd 0.000 0.000 0.000
As1 As 0.000 0.500 0.500
O1 O 0.500 0.500 0.500

Which of them is most stable? Easy: version two.

Version one
# CdAsSe2O (PBE, relaxed)
# DOS(E_F): 3.7 states/eV per cell
# magnetic moment: 0.0 μB per cell
data_CdAsSe2O
_chemical_formula_sum 'Cd1 As1 Se2 O1'
_space_group_name_H-M_alt 'P 4/m m m'
_space_group_IT_number 123
_space_group_name_Hall '-P 4 2'
_cell_length_a 4.534
_cell_length_b 4.534
_cell_length_c 4.594
_cell_angle_alpha 90.00
_cell_angle_beta 90.00
_cell_angle_gamma 90.00
loop_
_atom_site_label
_atom_site_type_symbol
_atom_site_fract_x
_atom_site_fract_y
_atom_site_fract_z
Cd1 Cd 0.000 0.000 0.000
As1 As 0.500 0.500 0.000
Se1 Se 0.000 0.500 0.500
O1 O 0.500 0.500 0.500

Version two
# CdAsSe2O (PBE, relaxed)
# DOS(E_F): 13.2 states/eV per cell
# magnetic moment: 0.5 μB per cell
data_CdAsSe2O
_chemical_formula_sum 'Cd1 As1 Se2 O1'
_space_group_name_H-M_alt 'P 4/m m m'
_space_group_IT_number 123
_space_group_name_Hall '-P 4 2'
_cell_length_a 5.129
_cell_length_b 5.129
_cell_length_c 5.277
_cell_angle_alpha 90.00
_cell_angle_beta 90.00
_cell_angle_gamma 90.00
loop_
_atom_site_label
_atom_site_type_symbol
_atom_site_fract_x
_atom_site_fract_y
_atom_site_fract_z
Cd1 Cd 0.000 0.000 0.000
As1 As 0.000 0.000 0.500
Se1 Se 0.000 0.500 0.000
O1 O 0.500 0.500 0.500

Which of them is most stable? Easy: version one.

Version one
# CdAsOs3 (PBE, relaxed)
# DOS(E_F): 5.3 states/eV per cell
# magnetic moment: 0.9 μB per cell
data_CdAsOs3
_chemical_formula_sum 'Cd1 As1 Os3'
_space_group_name_H-M_alt 'P m -3 m'
_space_group_IT_number 221
_space_group_name_Hall '-P 4 2 3'
_cell_length_a 4.556
_cell_length_b 4.556
_cell_length_c 4.556
_cell_angle_alpha 90.00
_cell_angle_beta 90.00
_cell_angle_gamma 90.00
loop_
_atom_site_label
_atom_site_type_symbol
_atom_site_fract_x
_atom_site_fract_y
_atom_site_fract_z
Cd1 Cd 0.000 0.000 0.000
As1 As 0.500 0.500 0.500
Os1 Os 0.000 0.500 0.500

Version two
# CdAsOs3 (PBE, relaxed)
# DOS(E_F): 12.9 states/eV per cell
# magnetic moment: 1.3 μB per cell
data_CdAsOs3
_chemical_formula_sum 'Cd1 As1 Os3'
_space_group_name_H-M_alt 'P m -3 m'
_space_group_IT_number 221
_space_group_name_Hall '-P 4 2 3'
_cell_length_a 4.811
_cell_length_b 4.811
_cell_length_c 4.811
_cell_angle_alpha 90.00
_cell_angle_beta 90.00
_cell_angle_gamma 90.00
loop_
_atom_site_label
_atom_site_type_symbol
_atom_site_fract_x
_atom_site_fract_y
_atom_site_fract_z
Cd1 Cd 0.000 0.000 0.000
As1 As 0.500 0.500 0.500
Os1 Os 0.000 0.000 0.500

Which of them is most stable? Easy: version one.

Version one
# Cd3AsOs (PBE, relaxed)
# DOS(E_F): 3.9 states/eV per cell
# magnetic moment: 1.8 μB per cell
data_Cd3AsOs
_chemical_formula_sum 'Cd3 As1 Os1'
_space_group_name_H-M_alt 'P m -3 m'
_space_group_IT_number 221
_space_group_name_Hall '-P 4 2 3'
_cell_length_a 5.188
_cell_length_b 5.188
_cell_length_c 5.188
_cell_angle_alpha 90.00
_cell_angle_beta 90.00
_cell_angle_gamma 90.00
loop_
_atom_site_label
_atom_site_type_symbol
_atom_site_fract_x
_atom_site_fract_y
_atom_site_fract_z
Cd1 Cd 0.000 0.000 0.500
As1 As 0.500 0.500 0.500
Os1 Os 0.000 0.000 0.000

Version two
# Cd3AsOs (PBE, relaxed)
# DOS(E_F): 5.5 states/eV per cell
# magnetic moment: 1.6 μB per cell
data_Cd3AsOs
_chemical_formula_sum 'Cd3 As1 Os1'
_space_group_name_H-M_alt 'P m -3 m'
_space_group_IT_number 221
_space_group_name_Hall '-P 4 2 3'
_cell_length_a 5.067
_cell_length_b 5.067
_cell_length_c 5.067
_cell_angle_alpha 90.00
_cell_angle_beta 90.00
_cell_angle_gamma 90.00
loop_
_atom_site_label
_atom_site_type_symbol
_atom_site_fract_x
_atom_site_fract_y
_atom_site_fract_z
Cd1 Cd 0.000 0.000 0.500
As1 As 0.000 0.000 0.000
Os1 Os 0.500 0.500 0.500

Which of them is most stable? Easy: version one.